Entry from Alexandria: a relaxed structure of ReWCl2 (GGA-PBE).

Lattice parameters (Å, degrees): 4.3805 4.3805 3.0803 90.00 90.00 90.00
Fractional positions:
Re 0.5000 0.0000 0.5000
Cl 0.0000 0.0000 0.0000
Cl 0.5000 0.5000 0.0000
W 0.0000 0.5000 0.5000

Output
The energy above the most stable polymorph in this dataset is 1790 meV/atom. Its size of the total moment is 0.000 μB per formula unit.

Entry from Alexandria: a relaxed structure of CaThPd3 (GGA-PBE).

Lattice parameters (Å, degrees): 5.6505 9.6091 8.3548 105.93 90.00 90.00
Fractional positions:
Pd 0.9996 0.2500 0.2498
Pd 0.0004 0.7500 0.7502
Pd 0.2492 0.1361 0.4760
Pd 0.2508 0.6361 0.9760
Pd 0.2504 0.5352 0.2569
Pd 0.7496 0.4648 0.7431
Pd 0.5004 0.7500 0.7498
Pd 0.2496 0.0352 0.7569
Pd 0.7504 0.9648 0.2431
Pd 0.7492 0.3639 0.0240
Pd 0.7508 0.8639 0.5240
Pd 0.4996 0.2500 0.2502
Th 0.7508 0.6803 0.0451
Th 0.7492 0.1803 0.5451
Th 0.2492 0.3197 0.9549
Th 0.2508 0.8197 0.4549
Ca 0.2502 0.9611 0.0943
Ca 0.7498 0.0389 0.9057
Ca 0.2498 0.4611 0.5943
Ca 0.7502 0.5389 0.4057

Output
As for the calculated formation energy: -70.9 kJ/mol of atoms. The energy above the most stable polymorph in this dataset is 64 meV/atom. Its size of the total moment is 0.000 μB per formula unit.

Entry from Alexandria: a relaxed structure of DyMnTlCl6 (GGA-PBE).

Lattice parameters (Å, degrees): 6.4735 6.4735 14.6025 90.00 90.00 120.00
Last column: magnetic moment on the atom in μB.
Fractional positions:
Cl 0.6191 0.9673 0.3479  0.00
Cl 0.6191 0.6518 0.1521  0.00
Cl 0.0327 0.6518 0.3479  0.00
Cl 0.6518 0.0327 0.8479  0.00
Cl 0.9673 0.6191 0.8479  0.00
Cl 0.3809 0.0327 0.6521  0.00
Cl 0.3482 0.9673 0.1521  0.00
Cl 0.3482 0.3809 0.3479  0.00
Cl 0.3809 0.3482 0.8479  0.00
Cl 0.6518 0.6191 0.6521  0.00
Cl 0.0327 0.3809 0.1521  0.00
Cl 0.9673 0.3482 0.6521  0.00
Dy 0.6667 0.3333 0.2500  -0.01
Dy 0.3333 0.6667 0.7500  -0.01
Mn 0.6667 0.3333 0.7500  0.92
Mn 0.3333 0.6667 0.2500  0.92
Tl 0.0000 0.0000 0.0000  0.00
Tl 0.0000 0.0000 0.5000  0.00

Output
Its size of the total moment is 0.932 μB per formula unit. Its uncorrected energy is -4.388 eV per atom.

Entry from Alexandria: a relaxed structure of CaPm4Dy4 (GGA-PBE).

Lattice parameters (Å, degrees): 9.1096 10.6706 11.9881 73.13 121.36 141.37
Fractional positions:
Pm 0.5059 0.8321 0.7450
Pm 0.7989 0.0961 0.0513
Pm 0.1192 0.3708 0.3902
Pm 0.8380 0.2787 0.6012
Pm 0.4941 0.1679 0.2550
Pm 0.8808 0.6292 0.6098
Pm 0.2011 0.9039 0.9487
Pm 0.1620 0.7213 0.3988
Dy 0.8207 0.4393 0.0689
Dy 0.8139 0.7760 0.0658
Dy 0.1861 0.2240 0.9342
Dy 0.8470 0.9480 0.5899
Dy 0.5059 0.8358 0.2490
Dy 0.4941 0.1642 0.7510
Dy 0.1793 0.5607 0.9311
Dy 0.1530 0.0520 0.4101
Ca 0.4989 0.4975 0.7424
Ca 0.5011 0.5025 0.2576

Output
As for the calculated formation energy: 6.0 kJ/mol of atoms. Its size of the total moment is 0.000 μB per formula unit.

Entry from Alexandria: a relaxed structure of Sr2LuAg (GGA-PBE).

Lattice parameters (Å, degrees): 3.8184 3.8184 12.0500 80.88 80.88 60.00
Fractional positions:
Sr 0.9001 0.9001 0.2998
Sr 0.0999 0.0999 0.7002
Ag 0.5000 0.5000 0.5000
Lu 0.0000 0.0000 0.0000

Output
As for the calculated formation energy: 29.0 kJ/mol of atoms. Its size of the total moment is 0.073 μB per formula unit.

Entry from Alexandria: a relaxed structure of Na2SrSO (GGA-PBE).

Lattice parameters (Å, degrees): 4.4928 4.4928 4.9657 90.00 90.00 90.00
Fractional positions:
Na 0.5000 0.0000 0.0000
Na 0.0000 0.5000 0.0000
O 0.0000 0.0000 0.0000
S 0.5000 0.5000 0.5000
Sr 0.0000 0.0000 0.5000

Output
Its size of the total moment is 0.000 μB per formula unit. Its uncorrected energy is -4.304 eV per atom.

Entry from Alexandria: a relaxed structure of KH3Os (GGA-PBE).

Lattice parameters (Å, degrees): 3.7383 3.7383 3.7383 90.00 90.00 90.00
Fractional positions:
H 0.0000 0.5000 0.0000
H 0.0000 0.0000 0.5000
H 0.5000 0.0000 0.0000
Os 0.0000 0.0000 0.0000
K 0.5000 0.5000 0.5000

Output
The energy above the most stable polymorph in this dataset is 0 meV/atom. Its size of the total moment is 0.000 μB per formula unit.

Entry from Alexandria: a relaxed structure of TaIn2Os (GGA-PBE).

Lattice parameters (Å, degrees): 2.9946 2.9946 9.4611 90.00 90.00 116.94
Fractional positions:
Os 0.5000 0.5000 0.2500
In 0.0000 0.0000 0.0123
In 0.0000 0.0000 0.4877
Ta 0.5000 0.5000 0.7500

Output
As for the calculated formation energy: 51.9 kJ/mol of atoms. The energy above the most stable polymorph in this dataset is 503 meV/atom. Its size of the total moment is 0.000 μB per formula unit.